[1]
Below is TlFe2Re after structural relaxation, with properties calculated at the GGA-PBE level.

a b c (Å): 4.134 4.134 6.987
angles (deg): 90.00 90.00 90.00
Space group I4/mmm (No. 139)
Symmetry-distinct sites (fractional):
Tl (0.000, 0.000, 0.000) (multiplicity 2)
Fe (0.000, 0.500, 0.250) (multiplicity 4)
Re (0.000, 0.000, 0.500) (multiplicity 2)

For the formation energy from the elements, the calculation gives 714 meV per atom. Its excess energy over the best structure of this formula in the dataset is 0.870 eV per formula unit.

[2]
Below is TlFe2Re after structural relaxation, with properties calculated at the GGA-PBE level.

a b c (Å): 5.620 7.679 2.823
angles (deg): 90.00 90.00 90.00
Space group Cmmm (No. 65)
Symmetry-distinct sites (fractional):
Tl (0.000, 0.000, 0.000) (multiplicity 2)
Fe (0.250, 0.250, 0.500) (multiplicity 4)
Re (0.000, 0.500, 0.000) (multiplicity 2)

For the formation energy from the elements, the calculation gives 649 meV per atom. Its excess energy over the best structure of this formula in the dataset is 0.609 eV per formula unit.

[3]
Below is Tl2FeRe after structural relaxation, with properties calculated at the GGA-PBE level.

a b c (Å): 6.585 6.616 3.342
angles (deg): 90.00 90.00 90.00
Space group Cmmm (No. 65)
Symmetry-distinct sites (fractional):
Tl (0.250, 0.250, 0.000) (multiplicity 4)
Fe (0.000, 0.000, 0.500) (multiplicity 2)
Re (0.000, 0.500, 0.500) (multiplicity 2)

For the formation energy from the elements, the calculation gives 1050 meV per atom. Its excess energy over the best structure of this formula in the dataset is 1.989 eV per formula unit.

[4]
Below is TlFeRe2 after structural relaxation, with properties calculated at the GGA-PBE level.

a b c (Å): 9.607 2.871 4.757
angles (deg): 90.00 103.76 90.00
Space group C2/m (No. 12)
Symmetry-distinct sites (fractional):
Tl (0.000, 0.000, 0.000) (multiplicity 2)
Fe (0.000, 0.500, 0.500) (multiplicity 2)
Re (0.228, 0.000, 0.716) (multiplicity 4)

For the formation energy from the elements, the calculation gives 654 meV per atom. Its excess energy over the best structure of this formula in the dataset is 0.539 eV per formula unit.

[5]
Below is Tl3FeRe after structural relaxation, with properties calculated at the GGA-PBE level.

a b c (Å): 5.330 5.330 5.330
angles (deg): 90.00 90.00 90.00
Space group Pm-3m (No. 221)
Symmetry-distinct sites (fractional):
Tl (0.000, 0.000, 0.500) (multiplicity 3)
Fe (0.500, 0.500, 0.500) (multiplicity 1)
Re (0.000, 0.000, 0.000) (multiplicity 1)

For the formation energy from the elements, the calculation gives 1295 meV per atom. Its excess energy over the best structure of this formula in the dataset is 0.000 eV per formula unit.

[6]
Below is TlFe3Re after structural relaxation, with properties calculated at the GGA-PBE level.

a b c (Å): 4.591 4.591 4.591
angles (deg): 90.00 90.00 90.00
Space group Pm-3m (No. 221)
Symmetry-distinct sites (fractional):
Tl (0.000, 0.000, 0.000) (multiplicity 1)
Fe (0.000, 0.500, 0.500) (multiplicity 3)
Re (0.500, 0.500, 0.500) (multiplicity 1)

For the formation energy from the elements, the calculation gives 1362 meV per atom.

[7]
Below is TlFe2Re after structural relaxation, with properties calculated at the GGA-PBE level.

a b c (Å): 6.177 6.177 6.177
angles (deg): 90.00 90.00 90.00
Space group Fm-3m (No. 225)
Symmetry-distinct sites (fractional):
Tl (0.000, 0.000, 0.000) (multiplicity 4)
Fe (0.250, 0.250, 0.250) (multiplicity 8)
Re (0.000, 0.000, 0.500) (multiplicity 4)

For the formation energy from the elements, the calculation gives 716 meV per atom. Its excess energy over the best structure of this formula in the dataset is 0.877 eV per formula unit.

[8]
Below is TlFe2Re2 after structural relaxation, with properties calculated at the GGA-PBE level.

a b c (Å): 7.373 7.373 2.726
angles (deg): 90.00 90.00 90.00
Space group P4/mbm (No. 127)
Symmetry-distinct sites (fractional):
Tl (0.000, 0.000, 0.000) (multiplicity 2)
Fe (0.126, 0.374, 0.000) (multiplicity 4)
Re (0.158, 0.658, 0.500) (multiplicity 4)

For the formation energy from the elements, the calculation gives 562 meV per atom. Its excess energy over the best structure of this formula in the dataset is 0.000 eV per formula unit.

[9]
Below is TlFeRe2 after structural relaxation, with properties calculated at the GGA-PBE level.

a b c (Å): 2.804 4.494 10.201
angles (deg): 90.00 90.00 90.00
Space group Immm (No. 71)
Symmetry-distinct sites (fractional):
Tl (0.000, 0.000, 0.000) (multiplicity 2)
Fe (0.000, 0.000, 0.500) (multiplicity 2)
Re (0.000, 0.500, 0.212) (multiplicity 4)

For the formation energy from the elements, the calculation gives 661 meV per atom. Its excess energy over the best structure of this formula in the dataset is 0.568 eV per formula unit.

[10]
Below is TlFe2Re after structural relaxation, with properties calculated at the GGA-PBE level.

a b c (Å): 4.184 4.184 3.465
angles (deg): 90.00 90.00 90.00
Space group P4/mmm (No. 123)
Symmetry-distinct sites (fractional):
Tl (0.000, 0.000, 0.000) (multiplicity 1)
Fe (0.000, 0.500, 0.500) (multiplicity 2)
Re (0.500, 0.500, 0.000) (multiplicity 1)

For the formation energy from the elements, the calculation gives 651 meV per atom. Its excess energy over the best structure of this formula in the dataset is 0.616 eV per formula unit.

[11]
Below is Tl2FeRe after structural relaxation, with properties calculated at the GGA-PBE level.

a b c (Å): 9.395 2.963 5.463
angles (deg): 90.00 101.23 90.00
Space group C2/m (No. 12)
Symmetry-distinct sites (fractional):
Tl (0.247, 0.000, 0.247) (multiplicity 4)
Fe (0.000, 0.500, 0.000) (multiplicity 2)
Re (0.000, 0.000, 0.500) (multiplicity 2)

For the formation energy from the elements, the calculation gives 1007 meV per atom. Its excess energy over the best structure of this formula in the dataset is 1.817 eV per formula unit.

[12]
Below is TlFeRe2 after structural relaxation, with properties calculated at the GGA-PBE level.

a b c (Å): 3.827 3.827 8.560
angles (deg): 90.00 90.00 90.00
Space group I4/mmm (No. 139)
Symmetry-distinct sites (fractional):
Tl (0.000, 0.000, 0.000) (multiplicity 2)
Fe (0.000, 0.000, 0.500) (multiplicity 2)
Re (0.000, 0.500, 0.250) (multiplicity 4)

For the formation energy from the elements, the calculation gives 822 meV per atom. Its excess energy over the best structure of this formula in the dataset is 1.211 eV per formula unit.

[13]
Below is TlFe2Re after structural relaxation, with properties calculated at the GGA-PBE level.

a b c (Å): 8.679 2.892 5.033
angles (deg): 90.00 99.13 90.00
Space group C2/m (No. 12)
Symmetry-distinct sites (fractional):
Tl (0.000, 0.000, 0.000) (multiplicity 2)
Fe (0.242, 0.000, 0.690) (multiplicity 4)
Re (0.000, 0.500, 0.500) (multiplicity 2)

For the formation energy from the elements, the calculation gives 654 meV per atom. Its excess energy over the best structure of this formula in the dataset is 0.626 eV per formula unit.

[14]
Below is Tl2FeRe after structural relaxation, with properties calculated at the GGA-PBE level.

a b c (Å): 3.1177 3.1177 28.2554
angles (deg): 90.00 90.00 120.00
Space group R3m (No. 160, hexagonal axes)
Symmetry-distinct sites (fractional):
Tl (0.0000, 0.0000, 0.0000) (multiplicity 3)
Tl (0.0000, 0.0000, 0.2307) (multiplicity 3)
Fe (0.0000, 0.0000, 0.4802) (multiplicity 3)
Re (0.0000, 0.0000, 0.7549) (multiplicity 3)

For the formation energy from the elements, the calculation gives 679 meV per atom. Its excess energy over the best structure of this formula in the dataset is 0.503 eV per formula unit.

[15]
Below is TlFe2Re after structural relaxation, with properties calculated at the GGA-PBE level.

a b c (Å): 3.180 4.559 8.686
angles (deg): 90.00 90.00 90.00
Space group Cmmm (No. 65)
Symmetry-distinct sites (fractional):
Tl (0.000, 0.000, 0.000) (multiplicity 2)
Fe (0.000, 0.500, 0.274) (multiplicity 4)
Re (0.000, 0.000, 0.500) (multiplicity 2)

For the formation energy from the elements, the calculation gives 582 meV per atom. Its excess energy over the best structure of this formula in the dataset is 0.339 eV per formula unit.